Cr2IrO after structural relaxation. Source: Alexandria via LeMat-Bulk, functional PBE+U.

The total energy comes out at -56.9 eV for the cell shown. As for the density of states at the Fermi level: 5.921 states/eV/cell.

Cell: 6.3894 6.3894 6.3894 Å, 133.10 133.10 68.50°
With the nearest neighbours (Å) after each atom.
Atoms (fractional coordinates):
Cr 0.0193 0.6250 0.8943  2 O 1.97
Cr 0.3750 0.2693 0.3943  2 O 1.97
Cr 0.7307 0.1250 0.1057  2 O 1.97
Cr 0.8750 0.9807 0.6057  2 O 1.97
Ir 0.2500 0.7500 0.5000  4 Cr 2.58
Ir 0.5000 0.5000 0.0000  4 Cr 2.58
O 0.0000 0.0000 0.0000  4 Cr 1.97
O 0.7500 0.2500 0.5000  4 Cr 1.97